# Li2CeGeO

A geometry-optimized Li2CeGeO structure (PBE, Alexandria via LeMat-Bulk).

Geometry as POSCAR:
```
Li2CeGeO
1.0
1.6656 -5.9546 0.0000
1.6656 5.9546 0.0000
0.0000 0.0000 7.7087
Li Ce Ge O
4 2 2 2
Cartesian
1.6656 4.0694 4.1604
1.6656 4.0694 7.4027
1.6656 -4.0694 0.3061
1.6656 -4.0694 3.5483
1.6656 0.3264 5.7816
1.6656 -0.3264 1.9272
1.6656 2.8958 1.9272
1.6656 -2.8958 5.7816
0.0000 0.0000 0.0000
0.0000 0.0000 3.8544
```

Values from the calculation:
SG: Cmcm (63)
Fermi-level density of states (states/eV per atom): 1.06
Total moment (μB/f.u.): 0.70
ΔE_f (raw) (kJ/mol of atoms): -126.44

=====

# SrAlCd

A geometry-optimized SrAlCd structure (PBE, Alexandria via LeMat-Bulk).

Geometry as POSCAR:
```
SrAlCd
1.0
4.9112 0.0000 0.0000
-2.4556 4.2532 0.0000
0.0000 0.0000 4.0155
Sr Al Cd
1 1 1
Cartesian
0.0000 0.0000 0.0000
2.4556 1.4177 2.0077
0.0000 2.8355 2.0077
```

Values from the calculation:
SG: P-6m2 (187)
Energy relative to the elements (eV/atom): -0.249
Fermi-level density of states (states/eV per atom): 0.64
Total moment (μB/f.u.): 0.00

=====

# BeNiPd6

A geometry-optimized BeNiPd6 structure (PBE, Alexandria via LeMat-Bulk).

Geometry as POSCAR:
```
BeNiPd6
1.0
2.6805 -4.7110 0.0000
2.6805 4.7110 0.0000
-2.6720 0.0000 4.7290
Be Ni Pd
1 1 6
Cartesian
0.0000 0.0000 0.0000
-1.3360 0.0000 2.3645
0.6150 2.7357 3.5537
2.0739 2.7357 1.1753
1.8259 0.0000 1.0901
0.8631 0.0000 3.6389
0.6150 -2.7357 3.5537
2.0739 -2.7357 1.1753
```

Values from the calculation:
SG: C2/m (12)
Energy relative to the elements (eV/atom): 0.095
Fermi-level density of states (states/eV per atom): 1.24
Total moment (μB/f.u.): 1.16

=====

# Pm2HoTe3

A geometry-optimized Pm2HoTe3 structure (PBE, Alexandria via LeMat-Bulk).

Geometry as POSCAR:
```
Pm2HoTe3
1.0
-2.2185 3.1164 6.6390
2.2185 -3.1164 6.6390
2.2185 3.1164 -6.6390
Pm Ho Te
2 1 3
Cartesian
0.0000 0.0000 2.3080
0.0000 0.0000 10.9701
0.0000 0.0000 6.6390
2.2185 0.0000 0.0000
2.2185 0.0000 4.5339
0.0000 3.1164 2.1051
```

Values from the calculation:
SG: Immm (71)
Fermi-level density of states (states/eV per atom): 0.49
Total moment (μB/f.u.): 0.00
ΔE_f (raw) (kJ/mol of atoms): -130.67

=====

# Ta2GaSnAs

A geometry-optimized Ta2GaSnAs structure (PBE, Alexandria via LeMat-Bulk).

Geometry as POSCAR:
```
Ta2GaSnAs
1.0
4.8900 0.0000 0.0000
0.0000 4.8900 0.0000
0.0000 0.0000 4.9027
Ta Ga Sn As
2 1 1 1
Cartesian
0.0000 2.4450 0.0000
2.4450 0.0000 0.0000
0.0000 0.0000 0.0000
0.0000 0.0000 2.4513
2.4450 2.4450 2.4513
```

Values from the calculation:
SG: P4/mmm (123)
Energy relative to the elements (eV/atom): 1.361
Fermi-level density of states (states/eV per atom): 1.63
Total moment (μB/f.u.): 0.00

=====

# Zn2Cu5Rh

A geometry-optimized Zn2Cu5Rh structure (PBE, Alexandria via LeMat-Bulk).

Geometry as POSCAR:
```
Zn2Cu5Rh
1.0
5.2681 0.0000 0.0000
0.0000 10.4831 0.0000
0.0000 0.0000 3.6927
Zn Cu Rh
4 10 2
Cartesian
1.2534 1.2987 0.0000
1.3807 6.5402 0.0000
3.8874 3.9429 0.0000
4.0147 9.1844 0.0000
0.0000 5.2415 1.8463
0.0794 7.8111 1.8463
1.2568 3.8921 0.0000
1.3772 9.1336 0.0000
2.5547 2.5695 1.8463
2.6340 0.0000 1.8463
2.7134 7.9135 1.8463
3.8909 1.3495 0.0000
4.0112 6.5910 0.0000
5.1887 2.6720 1.8463
0.0000 0.0000 1.8463
2.6340 5.2415 1.8463
```

Values from the calculation:
SG: Pbam (55)
Energy relative to the elements (eV/atom): -0.123
Fermi-level density of states (states/eV per atom): 0.26
Total moment (μB/f.u.): 0.00

=====

Question: Which formula does entry 1 have?
Answer: Li2CeGeO

=====

Question: What is the Fermi-level density of states in the third record?
Answer: 1.24 states/eV per atom

=====

Question: The lowest Fermi-level density of states belongs to which entry?
Answer: Zn2Cu5Rh

=====

What did the fourth record say?
# Pm2HoTe3

A geometry-optimized Pm2HoTe3 structure (PBE, Alexandria via LeMat-Bulk).

Geometry as POSCAR:
```
Pm2HoTe3
1.0
-2.2185 3.1164 6.6390
2.2185 -3.1164 6.6390
2.2185 3.1164 -6.6390
Pm Ho Te
2 1 3
Cartesian
0.0000 0.0000 2.3080
0.0000 0.0000 10.9701
0.0000 0.0000 6.6390
2.2185 0.0000 0.0000
2.2185 0.0000 4.5339
0.0000 3.1164 2.1051
```

Values from the calculation:
SG: Immm (71)
Fermi-level density of states (states/eV per atom): 0.49
Total moment (μB/f.u.): 0.00
ΔE_f (raw) (kJ/mol of atoms): -130.67